Record 1
VASP calculation (PBE-GGA) on an optimized crystal structure of KTa2Ir.

Energy relative to the elements: 328 meV per atom

The structure in CIF format:
```
data_KTa2Ir
_cell_length_a 3.118
_cell_length_b 3.119
_cell_length_c 9.370
_cell_angle_alpha 90.00
_cell_angle_beta 90.11
_cell_angle_gamma 90.00
_space_group_name_H-M_alt 'P 1 m 1'
_space_group_IT_number 6
loop_
_space_group_symop_operation_xyz
'x,y,z'
'x,-y,z'
loop_
_atom_site_label
_atom_site_type_symbol
_atom_site_fract_x
_atom_site_fract_y
_atom_site_fract_z
K1 K 0.000 0.000 0.000
Ta1 Ta 0.498 0.500 0.359
Ta2 Ta 0.999 0.000 0.564
Ir1 Ir 0.500 0.500 0.716
```



Record 2
VASP calculation (PBE-GGA) on an optimized crystal structure of Rb3Sm3InTe8.

Raw formation energy: -1097 meV per atom

The structure in CIF format:
```
data_Rb3Sm3InTe8
_cell_length_a 15.519
_cell_length_b 8.941
_cell_length_c 10.276
_cell_angle_alpha 90.00
_cell_angle_beta 120.28
_cell_angle_gamma 90.00
_space_group_name_H-M_alt 'C 1 2/m 1'
_space_group_IT_number 12
loop_
_space_group_symop_operation_xyz
'x,y,z'
'-x,-y,-z'
'-x,y,-z'
'x,-y,z'
'x+1/2,y+1/2,z'
'-x+1/2,-y+1/2,-z'
'-x+1/2,y+1/2,-z'
'x+1/2,-y+1/2,z'
loop_
_atom_site_label
_atom_site_type_symbol
_atom_site_fract_x
_atom_site_fract_y
_atom_site_fract_z
Rb1 Rb 0.000 0.000 0.000
Rb2 Rb 0.250 0.250 0.000
Sm1 Sm 0.000 0.500 0.500
Sm2 Sm 0.250 0.250 0.500
In1 In 0.000 0.000 0.500
Te1 Te 0.016 0.245 0.302
Te2 Te 0.229 0.000 0.698
Te3 Te 0.235 0.500 0.704
```



Record 3
VASP calculation (PBE-GGA) on an optimized crystal structure of Er4CdPd12.

Energy relative to the elements: -787 meV per atom

The structure in CIF format:
```
data_Er4CdPd12
_cell_length_a 8.516
_cell_length_b 8.516
_cell_length_c 8.516
_cell_angle_alpha 90.00
_cell_angle_beta 90.00
_cell_angle_gamma 90.00
_space_group_name_H-M_alt 'I m -3 m'
_space_group_IT_number 229
_space_group_name_Hall '-I 4 2 3'
loop_
_atom_site_label
_atom_site_type_symbol
_atom_site_fract_x
_atom_site_fract_y
_atom_site_fract_z
Er1 Er 0.250 0.250 0.250
Cd1 Cd 0.000 0.000 0.000
Pd1 Pd 0.000 0.000 0.301
Pd2 Pd 0.000 0.250 0.500
```



Record 4
VASP calculation (PBE-GGA) on an optimized crystal structure of MgMn2GaSn.

Energy relative to the elements: 656 meV per atom

The structure in CIF format:
```
data_MgMn2GaSn
_cell_length_a 4.925
_cell_length_b 4.925
_cell_length_c 5.368
_cell_angle_alpha 90.00
_cell_angle_beta 90.00
_cell_angle_gamma 90.00
_space_group_name_H-M_alt 'P 4/m m m'
_space_group_IT_number 123
_space_group_name_Hall '-P 4 2'
loop_
_atom_site_label
_atom_site_type_symbol
_atom_site_fract_x
_atom_site_fract_y
_atom_site_fract_z
Mg1 Mg 0.000 0.000 0.000
Mn1 Mn 0.000 0.500 0.500
Ga1 Ga 0.500 0.500 0.500
Sn1 Sn 0.500 0.500 0.000
```



Record 5
VASP calculation (PBE-GGA) on an optimized crystal structure of ScTa2Sb.

Raw formation energy: -61 meV per atom

The structure in CIF format:
```
data_ScTa2Sb
_cell_length_a 3.451
_cell_length_b 4.494
_cell_length_c 5.578
_cell_angle_alpha 90.00
_cell_angle_beta 107.85
_cell_angle_gamma 90.00
_space_group_name_H-M_alt 'P 1 m 1'
_space_group_IT_number 6
loop_
_space_group_symop_operation_xyz
'x,y,z'
'x,-y,z'
loop_
_atom_site_label
_atom_site_type_symbol
_atom_site_fract_x
_atom_site_fract_y
_atom_site_fract_z
Sc1 Sc 0.000 0.000 0.000
Ta1 Ta 0.264 0.000 0.521
Ta2 Ta 0.717 0.500 0.428
Sb1 Sb 0.437 0.500 0.872
```



Record 6
VASP calculation (PBE-GGA) on an optimized crystal structure of LaPrBeCu.

Energy relative to the elements: 67 meV per atom

The structure in CIF format:
```
data_LaPrBeCu
_cell_length_a 7.246
_cell_length_b 7.246
_cell_length_c 7.246
_cell_angle_alpha 90.00
_cell_angle_beta 90.00
_cell_angle_gamma 90.00
_space_group_name_H-M_alt 'F -4 3 m'
_space_group_IT_number 216
_space_group_name_Hall 'F -4 2 3'
loop_
_atom_site_label
_atom_site_type_symbol
_atom_site_fract_x
_atom_site_fract_y
_atom_site_fract_z
La1 La 0.000 0.000 0.000
Pr1 Pr 0.000 0.000 0.500
Be1 Be 0.250 0.250 0.750
Cu1 Cu 0.250 0.250 0.250
```



Record 7
VASP calculation (PBE-GGA) on an optimized crystal structure of PrNd5Al2.

Energy relative to the elements: -70 meV per atom

The structure in CIF format:
```
data_PrNd5Al2
_cell_length_a 3.725
_cell_length_b 10.683
_cell_length_c 12.490
_cell_angle_alpha 90.00
_cell_angle_beta 90.00
_cell_angle_gamma 90.00
_space_group_name_H-M_alt 'I m m m'
_space_group_IT_number 71
_space_group_name_Hall '-I 2 2'
loop_
_atom_site_label
_atom_site_type_symbol
_atom_site_fract_x
_atom_site_fract_y
_atom_site_fract_z
Pr1 Pr 0.000 0.000 0.000
Nd1 Nd 0.000 0.218 0.358
Nd2 Nd 0.000 0.500 0.000
Al1 Al 0.000 0.500 0.272
```



Record 8
VASP calculation (PBE-GGA) on an optimized crystal structure of BaAcSiN3.

Raw formation energy: -682 meV per atom

The structure in CIF format:
```
data_BaAcSiN3
_cell_length_a 13.417
_cell_length_b 4.069
_cell_length_c 7.962
_cell_angle_alpha 90.00
_cell_angle_beta 107.17
_cell_angle_gamma 90.00
_space_group_name_H-M_alt 'C 1 2/m 1'
_space_group_IT_number 12
loop_
_space_group_symop_operation_xyz
'x,y,z'
'-x,-y,-z'
'-x,y,-z'
'x,-y,z'
'x+1/2,y+1/2,z'
'-x+1/2,-y+1/2,-z'
'-x+1/2,y+1/2,-z'
'x+1/2,-y+1/2,z'
loop_
_atom_site_label
_atom_site_type_symbol
_atom_site_fract_x
_atom_site_fract_y
_atom_site_fract_z
Ba1 Ba 0.143 0.000 0.069
Ac1 Ac 0.149 0.000 0.578
Si1 Si 0.002 0.500 0.270
N1 N 0.002 0.000 0.283
N2 N 0.136 0.500 0.802
N3 N 0.141 0.500 0.335
```



Record 9
VASP calculation (PBE-GGA) on an optimized crystal structure of Y6Er2Tm.

Energy relative to the elements: 71 meV per atom

The structure in CIF format:
```
data_Y6Er2Tm
_cell_length_a 13.376
_cell_length_b 11.683
_cell_length_c 9.009
_cell_angle_alpha 90.00
_cell_angle_beta 125.59
_cell_angle_gamma 90.00
_space_group_name_H-M_alt 'C 1 2/c 1'
_space_group_IT_number 15
loop_
_space_group_symop_operation_xyz
'x,y,z'
'-x,-y,-z'
'-x,y,-z+1/2'
'x,-y,z+1/2'
'x+1/2,y+1/2,z'
'-x+1/2,-y+1/2,-z'
'-x+1/2,y+1/2,-z+1/2'
'x+1/2,-y+1/2,z+1/2'
loop_
_atom_site_label
_atom_site_type_symbol
_atom_site_fract_x
_atom_site_fract_y
_atom_site_fract_z
Y1 Y 0.028 0.130 0.456
Y2 Y 0.105 0.415 0.192
Y3 Y 0.222 0.334 0.642
Er1 Er 0.188 0.097 0.925
Tm1 Tm 0.000 0.326 0.750
```



Record 10
VASP calculation (PBE-GGA) on an optimized crystal structure of SrY4ErS8.

Raw formation energy: -1999 meV per atom

The structure in CIF format:
```
data_SrY4ErS8
_cell_length_a 8.1669
_cell_length_b 8.1669
_cell_length_c 19.9408
_cell_angle_alpha 90.00
_cell_angle_beta 90.00
_cell_angle_gamma 120.00
_space_group_name_H-M_alt 'R 3 m'
_space_group_IT_number 160
_space_group_name_Hall 'R 3 -2"'
loop_
_atom_site_label
_atom_site_type_symbol
_atom_site_fract_x
_atom_site_fract_y
_atom_site_fract_z
Sr1 Sr 0.0000 0.0000 0.0000
Y1 Y 0.0000 0.0000 0.2494
Y2 Y 0.1690 0.3381 0.4574
Er1 Er 0.0000 0.0000 0.6267
S1 S 0.0000 0.0000 0.3822
S2 S 0.0000 0.0000 0.8608
S3 S 0.0390 0.5195 0.3784
S4 S 0.1779 0.3558 0.2063
```



Record 11
VASP calculation (PBE-GGA) on an optimized crystal structure of LiNdPuTl.

Energy relative to the elements: 34 meV per atom

The structure in CIF format:
```
data_LiNdPuTl
_cell_length_a 7.638
_cell_length_b 7.638
_cell_length_c 7.638
_cell_angle_alpha 90.00
_cell_angle_beta 90.00
_cell_angle_gamma 90.00
_space_group_name_H-M_alt 'F -4 3 m'
_space_group_IT_number 216
_space_group_name_Hall 'F -4 2 3'
loop_
_atom_site_label
_atom_site_type_symbol
_atom_site_fract_x
_atom_site_fract_y
_atom_site_fract_z
Li1 Li 0.000 0.000 0.000
Nd1 Nd 0.250 0.250 0.250
Pu1 Pu 0.250 0.250 0.750
Tl1 Tl 0.000 0.000 0.500
```